1.
# LaTaTe2 | Alexandria | GGA-PBEsol | relaxed
data_LaTaTe2
_chemical_formula_sum 'La4 Ta4 Te8'
_space_group_name_H-M_alt 'I -4 2 d'
_space_group_IT_number 122
_space_group_name_Hall 'I -4 2bw'
_cell_length_a 5.528
_cell_length_b 5.528
_cell_length_c 16.948
_cell_angle_alpha 90.00
_cell_angle_beta 90.00
_cell_angle_gamma 90.00
loop_
_atom_site_label
_atom_site_fract_x
_atom_site_fract_y
_atom_site_fract_z
_atom_site_occupancy
La1 0.000 0.000 0.000 1
Ta1 0.000 0.000 0.500 1
Te1 0.173 0.250 0.625 1
# energy relative to the lowest polymorph listed for this composition	193	kJ/mol of formula units
# formation energy (no corrections)	-0.018	eV per atom
# uncorrected energy	-100.1	eV for the cell shown

=====

2.
# Ge2BiRuCl | Alexandria | GGA-PBEsol | relaxed
data_Ge2BiRuCl
_chemical_formula_sum 'Ge2 Bi1 Ru1 Cl1'
_space_group_name_H-M_alt 'P 4/m m m'
_space_group_IT_number 123
_space_group_name_Hall '-P 4 2'
_cell_length_a 5.388
_cell_length_b 5.388
_cell_length_c 5.137
_cell_angle_alpha 90.00
_cell_angle_beta 90.00
_cell_angle_gamma 90.00
loop_
_atom_site_label
_atom_site_fract_x
_atom_site_fract_y
_atom_site_fract_z
_atom_site_occupancy
Ge1 0.000 0.500 0.000 1
Bi1 0.000 0.000 0.000 1
Ru1 0.500 0.500 0.500 1
Cl1 0.000 0.000 0.500 1
# formation energy (no corrections)	1.606	eV per atom
# uncorrected energy	-18.3	eV for the cell shown

=====

3.
# ScOsPb | Alexandria | GGA-PBEsol | relaxed
data_ScOsPb
_chemical_formula_sum 'Sc2 Os2 Pb2'
_space_group_name_H-M_alt 'I m m 2'
_space_group_IT_number 44
_cell_length_a 3.236
_cell_length_b 3.838
_cell_length_c 9.021
_cell_angle_alpha 90.00
_cell_angle_beta 90.00
_cell_angle_gamma 90.00
loop_
_space_group_symop_operation_xyz
'x,y,z'
'-x,-y,z'
'-x,y,z'
'x,-y,z'
'x+1/2,y+1/2,z+1/2'
'-x+1/2,-y+1/2,z+1/2'
'-x+1/2,y+1/2,z+1/2'
'x+1/2,-y+1/2,z+1/2'
loop_
_atom_site_label
_atom_site_fract_x
_atom_site_fract_y
_atom_site_fract_z
_atom_site_occupancy
Sc1 0.000 0.000 0.000 1
Os1 0.000 0.000 0.646 1
Pb1 0.000 0.000 0.314 1
# ΔE_f	57	meV/atom
# energy relative to the lowest polymorph listed for this composition	0	kJ/mol of formula units
# uncorrected energy	-45.3	eV for the cell shown

=====

4.
# ZrCoSb2 | Alexandria | GGA-PBEsol | relaxed
data_ZrCoSb2
_chemical_formula_sum 'Zr3 Co3 Sb6'
_space_group_name_H-M_alt 'R -3 m'
_space_group_IT_number 166
_space_group_name_Hall '-R 3 2"'
_cell_length_a 3.2476
_cell_length_b 3.2476
_cell_length_c 25.2887
_cell_angle_alpha 90.00
_cell_angle_beta 90.00
_cell_angle_gamma 120.00
loop_
_atom_site_label
_atom_site_fract_x
_atom_site_fract_y
_atom_site_fract_z
_atom_site_occupancy
Zr1 0.0000 0.0000 0.0000 1
Co1 0.0000 0.0000 0.5000 1
Sb1 0.0000 0.0000 0.2368 1
# formation energy (no corrections)	-0.064	eV per atom
# uncorrected energy	-78.6	eV for the cell shown